[1]
DFT (PBE) results for In2FeMo after structural relaxation.

Unit cell a=4.2200 b=3.0865 c=5.7488 alpha=72.66 beta=90.00 gamma=90.00
Positions (direct):
1 Mo 0.0000 0.6471 0.5245
2 In 0.5000 0.2955 0.2819
3 Fe 0.5000 0.6216 0.7237
4 In 0.0000 0.9358 0.9698

Results
The size of the total moment is 0.00 μB per formula unit. The calculation puts the density of states at the Fermi level at 0.55 states/eV/atom. The symmetry is Pm, No. 6. Its crystal system is monoclinic. The calculation puts the energy of formation at 0.419 eV/atom. The value obtained for the energy above the most stable polymorph in this dataset is 4.14 kcal/mol of atoms.

***

[2]
DFT (PBE) results for LaThPt after structural relaxation.

Unit cell a=7.1513 b=7.0713 c=7.7743 alpha=98.76 beta=90.00 gamma=90.00
Positions (direct):
1 Pt 0.2097 0.0076 0.1937
2 Pt 0.2903 0.5076 0.6937
3 Th 0.5575 0.7599 0.5755
4 Th 0.0575 0.7401 0.9245
5 Pt 0.7097 0.4924 0.3063
6 La 0.5604 0.7693 0.0756
7 Th 0.9425 0.2599 0.0755
8 La 0.0604 0.7307 0.4244
9 La 0.4396 0.2307 0.9244
10 La 0.9396 0.2693 0.5756
11 Pt 0.7903 0.9924 0.8063
12 Th 0.4425 0.2401 0.4245

Results
The size of the total moment is 0.00 μB per formula unit. The calculation puts the density of states at the Fermi level at 1.18 states/eV/atom. The symmetry is P2_1/c, No. 14. Its crystal system is monoclinic. The calculation puts the energy of formation at -0.655 eV/atom. The value obtained for the energy above the most stable polymorph in this dataset is 1.83 kcal/mol of atoms.

***

[3]
DFT (PBE) results for Li4Ca5Au4 after structural relaxation.

Unit cell a=4.3675 b=8.6948 c=8.6948 alpha=86.38 beta=75.45 gamma=75.45
Positions (direct):
1 Ca 0.6286 0.6647 0.0781
2 Au 0.2566 0.6846 0.8023
3 Li 0.8974 0.5264 0.6788
4 Li 0.1026 0.4736 0.3212
5 Au 0.0589 0.1977 0.6846
6 Ca 0.7067 0.9219 0.6647
7 Au 0.9411 0.8023 0.3154
8 Ca 0.2933 0.0781 0.3353
9 Ca 0.3714 0.3353 0.9219
10 Au 0.7434 0.3154 0.1977
11 Ca 0.0000 0.0000 0.0000
12 Li 0.5762 0.3212 0.5264
13 Li 0.4238 0.6788 0.4736

Results
The size of the total moment is 0.00 μB per formula unit. The calculation puts the density of states at the Fermi level at 0.46 states/eV/atom. The symmetry is I4/m, No. 87. Its crystal system is tetragonal. The calculation puts the energy of formation at -0.579 eV/atom.

***

[4]
DFT (PBE) results for AcNpSbAu after structural relaxation.

Unit cell a=5.4745 b=5.4745 c=5.4745 alpha=60.00 beta=60.00 gamma=60.00
Last column: magnetic moment on the atom in μB.
Positions (direct):
1 Ac 0.2500 0.2500 0.2500  0.26
2 Np 0.7500 0.7500 0.7500  4.45
3 Sb 0.5000 0.5000 0.5000  -0.04
4 Au 0.0000 0.0000 0.0000  0.08

Results
The size of the total moment is 5.85 μB per formula unit. The calculation puts the density of states at the Fermi level at 2.44 states/eV/atom. The symmetry is F-43m, No. 216. Its crystal system is cubic.

***

[5]
DFT (PBE) results for NaTcPd2 after structural relaxation.

Unit cell a=4.4912 b=4.4912 c=4.4912 alpha=60.00 beta=60.00 gamma=60.00
Positions (direct):
1 Pd 0.2500 0.2500 0.2500
2 Tc 0.5000 0.5000 0.5000
3 Pd 0.7500 0.7500 0.7500
4 Na 0.0000 0.0000 0.0000

Results
The size of the total moment is 0.00 μB per formula unit. The calculation puts the density of states at the Fermi level at 0.85 states/eV/atom. The symmetry is Fm-3m, No. 225. Its crystal system is cubic. The calculation puts the energy of formation at 0.457 eV/atom. The value obtained for the energy above the most stable polymorph in this dataset is 0.00 kcal/mol of atoms.

***

[6]
DFT (PBE) results for La2AgAs3Rh4 after structural relaxation.

Unit cell a=4.1605 b=4.1605 c=11.0673 alpha=90.00 beta=90.00 gamma=90.00
Positions (direct):
1 Rh 0.5000 0.0000 0.6581
2 Rh 0.5000 0.5000 0.0000
3 As 0.5000 0.0000 0.8733
4 Rh 0.0000 0.0000 0.0000
5 As 0.0000 0.0000 0.5000
6 Ag 0.5000 0.5000 0.5000
7 La 0.0000 0.5000 0.7435
8 Rh 0.0000 0.5000 0.3419
9 La 0.5000 0.0000 0.2565
10 As 0.0000 0.5000 0.1267

Results
The size of the total moment is 0.00 μB per formula unit. The calculation puts the density of states at the Fermi level at 0.35 states/eV/atom. The symmetry is P-4m2, No. 115. Its crystal system is tetragonal. The calculation puts the energy of formation at -0.820 eV/atom.

***

[7]
DFT (PBE) results for ThSiPtRh after structural relaxation.

Unit cell a=4.0248 b=4.0248 c=9.5545 alpha=90.00 beta=90.00 gamma=90.00
Positions (direct):
1 Rh 0.0000 0.0000 0.5000
2 Th 0.0000 0.5000 0.7760
3 Th 0.5000 0.0000 0.2240
4 Si 0.5000 0.0000 0.6373
5 Rh 0.5000 0.5000 0.5000
6 Pt 0.5000 0.0000 0.8981
7 Pt 0.0000 0.5000 0.1019
8 Si 0.0000 0.5000 0.3627

Results
The size of the total moment is 0.00 μB per formula unit. The calculation puts the density of states at the Fermi level at 0.64 states/eV/atom. The symmetry is P4/nmm, No. 129. Its crystal system is tetragonal.

***

[8]
DFT (PBE) results for DyMgPtAu after structural relaxation.

Unit cell a=4.8286 b=4.8286 c=4.8286 alpha=60.00 beta=60.00 gamma=60.00
Positions (direct):
1 Au 0.2500 0.2500 0.2500
2 Pt 0.7500 0.7500 0.7500
3 Dy 0.0000 0.0000 0.0000
4 Mg 0.5000 0.5000 0.5000

Results
The size of the total moment is 0.00 μB per formula unit. The calculation puts the density of states at the Fermi level at 0.39 states/eV/atom. The symmetry is F-43m, No. 216. Its crystal system is cubic. The calculation puts the energy of formation at -0.898 eV/atom.

***

[9]
DFT (PBE) results for Ba4Li3Au2 after structural relaxation.

Unit cell a=4.6880 b=7.8215 c=9.5173 alpha=107.50 beta=104.26 gamma=90.00
Positions (direct):
1 Ba 0.2325 0.7042 0.4650
2 Au 0.6087 0.4432 0.2174
3 Ba 0.4322 0.1557 0.8643
4 Ba 0.5678 0.8443 0.1357
5 Li 0.0975 0.2561 0.1950
6 Au 0.3913 0.5568 0.7826
7 Li 0.9025 0.7439 0.8050
8 Li 0.0000 0.5000 0.0000
9 Ba 0.7675 0.2958 0.5350

Results
The size of the total moment is 0.00 μB per formula unit. The calculation puts the density of states at the Fermi level at 0.82 states/eV/atom. The symmetry is C2/m, No. 12. Its crystal system is monoclinic. The calculation puts the energy of formation at -0.319 eV/atom.

***

[10]
DFT (PBE) results for Ti11Ir4Rh9 after structural relaxation.

Unit cell a=2.9649 b=11.3738 c=11.3738 alpha=108.79 beta=90.00 gamma=90.00
Last column: magnetic moment on the atom in μB.
Positions (direct):
1 Ir 0.5000 0.5922 0.7471  0.00
2 Rh 0.5000 0.7890 0.9948  -0.01
3 Ti 0.0000 0.0693 0.4122  0.01
4 Ir 0.5000 0.7471 0.5922  0.00
5 Rh 0.5000 0.0052 0.2110  -0.01
6 Rh 0.5000 0.9948 0.7890  -0.01
7 Ti 0.0000 0.0000 0.0000  0.56
8 Ti 0.0000 0.8082 0.1918  0.00
9 Rh 0.5000 0.3860 0.8414  0.00
10 Rh 0.5000 0.8414 0.3860  0.00
11 Ti 0.0000 0.2056 0.2056  0.16
12 Ti 0.0000 0.7944 0.7944  0.16
13 Ti 0.0000 0.4122 0.0693  0.01
14 Ti 0.0000 0.9307 0.5878  0.01
15 Rh 0.5000 0.1586 0.6140  0.00
16 Rh 0.5000 0.5000 0.5000  0.00
17 Ir 0.5000 0.4078 0.2529  0.00
18 Ti 0.0000 0.1918 0.8082  0.00
19 Ti 0.0000 0.5878 0.9307  0.01
20 Ti 0.0000 0.6214 0.3786  0.01
21 Rh 0.5000 0.6140 0.1586  0.00
22 Ir 0.5000 0.2529 0.4078  0.00
23 Ti 0.0000 0.3786 0.6214  0.01
24 Rh 0.5000 0.2110 0.0052  -0.01

Results
The size of the total moment is 1.08 μB per formula unit. The calculation puts the density of states at the Fermi level at 0.80 states/eV/atom. The symmetry is Cmmm, No. 65. Its crystal system is orthorhombic. The calculation puts the energy of formation at -0.753 eV/atom.

***

[11]
DFT (PBE) results for BaMn after structural relaxation.

Unit cell a=6.8585 b=6.8585 c=6.8585 alpha=90.00 beta=90.00 gamma=90.00
Last column: magnetic moment on the atom in μB.
Positions (direct):
1 Mn 0.0000 0.5000 0.5000  4.01
2 Ba 0.5000 0.5000 0.5000  -0.11
3 Mn 0.0000 0.0000 0.0000  4.01
4 Ba 0.5000 0.0000 0.0000  -0.11
5 Mn 0.5000 0.0000 0.5000  4.01
6 Ba 0.0000 0.5000 0.0000  -0.11
7 Mn 0.5000 0.5000 0.0000  4.01
8 Ba 0.0000 0.0000 0.5000  -0.11

Results
The size of the total moment is 3.88 μB per formula unit. The calculation puts the density of states at the Fermi level at 1.33 states/eV/atom. The symmetry is Fm-3m, No. 225. Its crystal system is cubic. The calculation puts the energy of formation at 0.931 eV/atom.

***

[12]
DFT (PBE) results for BeHgOs2 after structural relaxation.

Unit cell a=4.3580 b=4.3580 c=4.3580 alpha=60.00 beta=60.00 gamma=60.00
Positions (direct):
1 Os 0.7500 0.7500 0.7500
2 Os 0.2500 0.2500 0.2500
3 Hg 0.5000 0.5000 0.5000
4 Be 0.0000 0.0000 0.0000

Results
The size of the total moment is 0.00 μB per formula unit. The calculation puts the density of states at the Fermi level at 1.23 states/eV/atom. The symmetry is Fm-3m, No. 225. Its crystal system is cubic. The calculation puts the energy of formation at 0.966 eV/atom. The value obtained for the energy above the most stable polymorph in this dataset is 16.05 kcal/mol of atoms.

***

[13]
DFT (PBE) results for ZrV2Ru2 after structural relaxation.

Unit cell a=4.0751 b=4.0751 c=5.8598 alpha=69.65 beta=69.65 gamma=90.00
Positions (direct):
1 V 0.7500 0.2500 0.5000
2 Ru 0.3782 0.3782 0.2435
3 V 0.2500 0.7500 0.5000
4 Zr 0.0000 0.0000 0.0000
5 Ru 0.6218 0.6218 0.7565

Results
The size of the total moment is 0.00 μB per formula unit. The calculation puts the density of states at the Fermi level at 0.86 states/eV/atom. The symmetry is I4/mmm, No. 139. Its crystal system is tetragonal. The calculation puts the energy of formation at -0.150 eV/atom. The value obtained for the energy above the most stable polymorph in this dataset is 0.13 kcal/mol of atoms.

***

[14]
DFT (PBE) results for DyF after structural relaxation.

Unit cell a=3.7007 b=3.7002 c=5.7441 alpha=90.00 beta=90.00 gamma=90.00
Positions (direct):
1 F 0.7500 0.2500 0.0002
2 Dy 0.7500 0.7500 0.7331
3 F 0.2500 0.7500 0.9998
4 Dy 0.2500 0.2500 0.2669

Results
The size of the total moment is 0.00 μB per formula unit. The calculation puts the density of states at the Fermi level at 0.64 states/eV/atom. The symmetry is P4/nmm, No. 129. Its crystal system is tetragonal.

***

[15]
DFT (PBE) results for KFeCo2 after structural relaxation.

Unit cell a=4.4432 b=4.4432 c=4.4432 alpha=60.00 beta=60.00 gamma=60.00
Last column: magnetic moment on the atom in μB.
Positions (direct):
1 Co 0.7500 0.7500 0.7500  1.50
2 Co 0.2500 0.2500 0.2500  1.50
3 Fe 0.5000 0.5000 0.5000  2.87
4 K 0.0000 0.0000 0.0000  -0.04

Results
The size of the total moment is 5.57 μB per formula unit. The calculation puts the density of states at the Fermi level at 1.32 states/eV/atom. The symmetry is Fm-3m, No. 225. Its crystal system is cubic. The calculation puts the energy of formation at 1.269 eV/atom. The value obtained for the energy above the most stable polymorph in this dataset is 14.64 kcal/mol of atoms.

***

[16]
DFT (PBE) results for Zr3CdN after structural relaxation.

Unit cell a=6.1964 b=6.1964 c=7.1423 alpha=64.29 beta=64.29 gamma=90.00
Positions (direct):
1 Zr 0.1208 0.8671 0.7584
2 Zr 0.1208 0.3745 0.7584
3 N 0.0000 0.0000 0.0000
4 Zr 0.1329 0.8792 0.2416
5 Zr 0.6255 0.8792 0.2416
6 Cd 0.6236 0.1236 0.7527
7 Zr 0.3757 0.3757 0.2485
8 Cd 0.8764 0.3764 0.2473
9 Zr 0.6243 0.6243 0.7515
10 N 0.2500 0.7500 0.5000

Results
The size of the total moment is 0.00 μB per formula unit. The calculation puts the density of states at the Fermi level at 1.05 states/eV/atom. The symmetry is I-4m2, No. 119. Its crystal system is tetragonal.

***

[17]
DFT (PBE) results for PmPr5Ho after structural relaxation.

Unit cell a=5.9634 b=8.1097 c=8.1097 alpha=66.19 beta=68.51 gamma=68.51
Positions (direct):
1 Pr 0.5000 0.0000 0.0000
2 Pm 0.0000 0.0000 0.0000
3 Ho 0.5000 0.5000 0.5000
4 Pr 0.0000 0.3239 0.6761
5 Pr 0.7510 0.2492 0.2492
6 Pr 0.0000 0.6761 0.3239
7 Pr 0.2490 0.7508 0.7508

Results
The size of the total moment is 0.00 μB per formula unit. The calculation puts the density of states at the Fermi level at 1.96 states/eV/atom. The symmetry is C2/m, No. 12. Its crystal system is monoclinic. The calculation puts the energy of formation at 0.941 eV/atom.

***

[18]
DFT (PBE) results for Al2ReMo after structural relaxation.

Unit cell a=4.0930 b=3.8357 c=3.8357 alpha=90.00 beta=90.00 gamma=90.00
Positions (direct):
1 Al 0.0000 0.0000 0.0000
2 Al 0.0000 0.5000 0.5000
3 Re 0.5000 0.0000 0.5000
4 Mo 0.5000 0.5000 0.0000

Results
The size of the total moment is 0.00 μB per formula unit. The calculation puts the density of states at the Fermi level at 0.72 states/eV/atom. The symmetry is P4/mmm, No. 123. Its crystal system is tetragonal. The calculation puts the energy of formation at -0.019 eV/atom. The value obtained for the energy above the most stable polymorph in this dataset is 6.68 kcal/mol of atoms.

***

[19]
DFT (PBE) results for La2Ta after structural relaxation.

Unit cell a=5.8628 b=5.8628 c=5.5946 alpha=90.00 beta=90.00 gamma=120.00
Positions (direct):
1 Ta 0.3333 0.6667 0.5000
2 La 0.0000 0.6279 0.0000
3 La 0.0000 0.0000 0.5000
4 Ta 0.6667 0.3333 0.5000
5 La 0.6279 0.0000 0.0000
6 La 0.3721 0.3721 0.0000

Results
The size of the total moment is 0.00 μB per formula unit. The calculation puts the density of states at the Fermi level at 1.17 states/eV/atom. The symmetry is P-62m, No. 189. Its crystal system is hexagonal. The calculation puts the energy of formation at 0.519 eV/atom. The value obtained for the energy above the most stable polymorph in this dataset is 5.57 kcal/mol of atoms.

***

[20]
DFT (PBE) results for Sr2NiSb after structural relaxation.

Unit cell a=8.4527 b=8.4527 c=6.8533 alpha=51.93 beta=51.93 gamma=90.00
Positions (direct):
1 Sr 0.8750 0.8283 0.7500
2 Ni 0.2500 0.7500 0.5000
3 Sr 0.3750 0.4217 0.7500
4 Sr 0.5783 0.1250 0.2500
5 Sb 0.0000 0.0000 0.0000
6 Sr 0.1717 0.6250 0.2500
7 Sb 0.7500 0.2500 0.5000
8 Ni 0.5000 0.5000 0.0000

Results
The size of the total moment is 0.00 μB per formula unit. The calculation puts the density of states at the Fermi level at 0.56 states/eV/atom. The symmetry is I-42d, No. 122. Its crystal system is tetragonal.

***

no.,energy (eV for the cell shown)
1,-23.1
2,-81.4
3,-38.3
4,-25.9
5,-20.2
6,-64.3
7,-61.5
8,-19.1
9,-22.9
10,-206.5
11,-36.9
12,-22.6
13,-46.1
14,-23.2
15,-18.7
16,-71.7
17,-26.6
18,-30.8
19,-40.3
20,-27.6